No. 1
SrHgAsSe2 | GGA-PBE | optimized geometry

```
SrHgAsSe2
1.0
5.941 0.000 0.000
0.000 5.941 0.000
0.000 0.000 6.368
Sr As Hg Se
1 1 1 2
Cartesian
0.000 0.000 0.000 Sr
0.000 0.000 3.184 As
2.970 2.970 3.184 Hg
0.000 2.970 0.000 Se
2.970 0.000 0.000 Se
```

Computed properties:
DOS(E_F)	1.49	states/eV/atom
SG	No. 123
energy relative to the elements, uncorrected	1.8	eV/f.u.

No. 2
LaU6 | GGA-PBE | optimized geometry

```
LaU6
1.0
-6.165 0.274 0.532
1.757 -5.905 -0.638
2.619 2.396 5.076
La U
1 6
Cartesian
0.000 0.000 0.000 La
1.086 -3.162 2.192 U
-1.110 -3.693 1.056 U
1.301 -1.087 3.621 U
-2.875 -0.073 2.777 U
-0.679 0.458 3.913 U
-3.091 -2.148 1.349 U
```

Computed properties:
DOS(E_F)	3.59	states/eV/atom
SG	No. 229
formation enthalpy at 0 K	0.74	eV/atom

No. 3
Ce3Hg2Au3 | GGA-PBE | optimized geometry

```
Ce3Hg2Au3
1.0
-1.418 5.045 3.222
-6.381 2.022 -5.974
-1.969 -5.098 7.115
Ce Hg Au
6 4 6
Cartesian
-3.051 4.414 0.556 Ce
-6.813 1.666 3.203 Ce
-1.677 2.196 4.633 Ce
-4.748 2.654 -3.308 Ce
-2.955 0.303 1.161 Ce
-1.710 -2.249 5.705 Ce
-3.440 -2.724 2.752 Hg
-5.619 2.171 0.000 Hg
-4.911 -0.351 -1.611 Hg
-4.149 -0.202 4.363 Hg
-5.219 5.101 -1.473 Au
-3.976 2.711 2.815 Au
-2.346 0.464 7.050 Au
-2.580 1.967 -1.278 Au
-5.792 -0.741 1.549 Au
-1.041 -0.517 3.288 Au
```

Computed properties:
DOS(E_F)	2.76	states/eV/atom
SG	No. 193
formation enthalpy at 0 K	-0.48	eV/atom

No. 4
Sr2Tl6Rh | GGA-PBE | optimized geometry

```
Sr2Tl6Rh
1.0
-4.826 -3.187 -1.828
4.157 -5.490 -1.396
1.282 -4.792 4.976
Sr Tl Rh
2 6 1
Cartesian
-0.191 -9.381 0.941 Sr
0.806 -4.088 0.811 Sr
1.068 -6.805 3.094 Tl
3.076 -9.445 2.422 Tl
2.454 -7.141 0.022 Tl
-0.454 -6.664 -1.342 Tl
-2.462 -4.024 -0.670 Tl
-1.840 -6.328 1.730 Tl
0.000 0.000 0.000 Rh
```

Computed properties:
DOS(E_F)	0.52	states/eV/atom
SG	No. 164
formation enthalpy at 0 K	-0.22	eV/atom

No. 5
CrTcTe | GGA-PBE | optimized geometry

```
CrTcTe
1.0
3.983 0.000 0.000
-1.991 3.449 0.000
0.000 0.000 9.400
Cr Te Tc
2 2 2
Cartesian
0.000 2.299 0.399 Cr
1.991 1.150 9.002 Cr
0.000 2.299 2.948 Te
1.991 1.150 6.452 Te
0.000 0.000 8.109 Tc
0.000 0.000 1.291 Tc
```

Computed properties:
DOS(E_F)	0.11	states/eV/atom
SG	No. 164
energy relative to the elements, uncorrected	0.0	eV/f.u.

No. 6
YSiPt2 | GGA-PBE | optimized geometry

```
YSiPt2
1.0
3.533 0.000 0.000
0.000 3.533 0.000
0.000 0.000 6.013
Pt Si Y
2 1 1
Cartesian
0.000 0.000 0.058 Pt
1.766 1.766 1.827 Pt
0.000 0.000 2.475 Si
1.766 1.766 4.659 Y
```

Computed properties:
DOS(E_F)	0.53	states/eV/atom
SG	No. 99
energy relative to the elements, uncorrected	-3.1	eV/f.u.

Repeat the sixth record exactly.
YSiPt2 | GGA-PBE | optimized geometry

```
YSiPt2
1.0
3.533 0.000 0.000
0.000 3.533 0.000
0.000 0.000 6.013
Pt Si Y
2 1 1
Cartesian
0.000 0.000 0.058 Pt
1.766 1.766 1.827 Pt
0.000 0.000 2.475 Si
1.766 1.766 4.659 Y
```

Computed properties:
DOS(E_F)	0.53	states/eV/atom
SG	No. 99
energy relative to the elements, uncorrected	-3.1	eV/f.u.

Q: Look up the DOS(E_F) of the fourth one.
A: 0.52 states/eV/atom

Q: What is the formula in the second record?
A: LaU6